TeMoAs2 | GGA-PBE | optimized geometry

Structure (POSCAR):
```
TeMoAs2
1.0
6.311 -0.002 -0.004
3.630 5.163 0.004
-4.457 -3.569 2.688
As Mo Te
2 1 1
Direct
0.568 0.568 0.000
0.932 0.932 0.000
0.750 0.250 0.500
0.250 0.750 0.500
```

The volume is 21.91 Å³/atom. As for the space group: Immm (71). For the formation energy from raw total energies, the calculation gives 0.353 eV/atom.

---

TeMoAs2 | GGA-PBE | optimized geometry

Structure (POSCAR):
```
TeMoAs2
1.0
-0.086 3.139 0.043
-2.442 -0.094 1.971
5.536 0.057 6.861
Mo As Te
1 2 1
Direct
0.500 0.500 0.250
0.000 0.000 0.417
0.000 0.000 0.083
0.500 0.500 0.750
```

The volume is 21.73 Å³/atom. As for the space group: P4/mmm (123). For the formation energy from raw total energies, the calculation gives 0.040 eV/atom.

---

TeMoAs4 | GGA-PBE | optimized geometry

Structure (POSCAR):
```
TeMoAs4
1.0
1.007 -2.772 4.740
-2.524 -4.884 0.967
2.952 -4.737 -0.110
As Mo Te
4 1 1
Direct
0.375 0.375 0.876
0.876 0.375 0.375
0.375 0.876 0.375
0.375 0.375 0.375
0.750 0.750 0.750
0.000 0.000 0.000
```

The volume is 20.50 Å³/atom. As for the space group: F-43m (216). For the formation energy from raw total energies, the calculation gives 0.801 eV/atom.

---

TeMoAs2 | GGA-PBE | optimized geometry

Structure (POSCAR):
```
TeMoAs2
1.0
6.230 0.000 0.000
0.000 6.230 0.000
3.115 3.115 5.784
Mo Te As
2 2 4
Direct
0.250 0.750 0.500
0.500 0.500 0.000
0.000 0.000 0.000
0.750 0.250 0.500
0.560 0.125 0.250
0.875 0.810 0.750
0.190 0.625 0.250
0.375 0.440 0.750
```

The volume is 28.06 Å³/atom. As for the space group: I-42d (122). For the formation energy from raw total energies, the calculation gives 0.459 eV/atom.

---

TeMoAs2 | GGA-PBE | optimized geometry

Structure (POSCAR):
```
TeMoAs2
1.0
4.726 -0.047 0.000
-0.057 4.726 0.000
-2.335 -2.339 3.379
Mo As Te
1 2 1
Direct
0.500 0.500 0.000
0.000 0.000 0.000
0.250 0.750 0.500
0.750 0.250 0.500
```

The volume is 18.87 Å³/atom. As for the space group: I-4m2 (119). For the formation energy from raw total energies, the calculation gives 0.515 eV/atom.

---

Te3MoAs | GGA-PBE | optimized geometry

Structure (POSCAR):
```
Te3MoAs
1.0
5.240 0.000 0.000
0.000 5.240 0.000
0.000 0.000 5.240
Te As Mo
3 1 1
Direct
0.000 0.000 0.500
0.000 0.500 0.000
0.500 0.000 0.000
0.500 0.500 0.500
0.000 0.000 0.000
```

As for the energy above the lowest structure with this stoichiometry: 0 meV per atom. The volume is 28.77 Å³/atom. As for the space group: Pm-3m (221). For the formation energy from raw total energies, the calculation gives 0.668 eV/atom.

---

TeMoAs2 | GGA-PBE | optimized geometry

Structure (POSCAR):
```
TeMoAs2
1.0
-2.580 2.622 6.228
-6.425 0.756 3.234
5.198 -3.774 -3.324
Te As Mo
1 2 1
Direct
0.325 0.825 0.500
0.034 0.034 0.000
0.652 0.152 0.500
0.489 0.489 0.000
```

The volume is 22.40 Å³/atom. As for the space group: Imm2 (44). For the formation energy from raw total energies, the calculation gives 0.171 eV/atom.

---

TeMoAs2 | GGA-PBE | optimized geometry

Structure (POSCAR):
```
TeMoAs2
1.0
3.035 -0.001 0.000
-1.180 2.796 0.000
0.000 0.000 9.681
Te As Mo
1 2 1
Direct
0.500 0.500 0.718
0.000 0.000 0.014
0.500 0.500 0.286
0.000 0.000 0.481
```

The volume is 20.54 Å³/atom. As for the space group: Cmm2 (35). For the formation energy from raw total energies, the calculation gives 0.459 eV/atom.

---

TeMo3As | GGA-PBE | optimized geometry

Structure (POSCAR):
```
TeMo3As
1.0
-3.212 -3.691 -0.349
3.673 -3.105 -0.963
0.504 -0.892 4.797
Te Mo As
1 3 1
Direct
0.000 0.000 0.000
0.500 0.000 0.000
0.000 0.000 0.500
0.000 0.500 0.000
0.500 0.500 0.500
```

As for the energy above the lowest structure with this stoichiometry: 822 meV per atom. The volume is 23.61 Å³/atom. As for the space group: Pm-3m (221). For the formation energy from raw total energies, the calculation gives 1.942 eV/atom.

---

TeMoAs3 | GGA-PBE | optimized geometry

Structure (POSCAR):
```
TeMoAs3
1.0
-3.945 2.917 0.283
-2.759 -3.537 -2.007
-0.988 -1.770 4.477
Mo Te As
1 1 3
Direct
0.000 0.000 0.000
0.500 0.500 0.500
0.000 0.500 0.000
0.500 0.000 0.000
0.000 0.000 0.500
```

As for the energy above the lowest structure with this stoichiometry: 0 meV per atom. The volume is 23.74 Å³/atom. As for the space group: Pm-3m (221). For the formation energy from raw total energies, the calculation gives 0.384 eV/atom.

---

TeMoAs2 | GGA-PBE | optimized geometry

Structure (POSCAR):
```
TeMoAs2
1.0
4.827 0.000 0.000
0.000 4.827 0.000
0.000 0.000 3.312
Mo As Te
1 2 1
Direct
0.500 0.000 0.500
0.000 0.000 0.000
0.500 0.500 0.000
0.000 0.500 0.500
```

The volume is 19.29 Å³/atom. As for the space group: P4/mmm (123). For the formation energy from raw total energies, the calculation gives 0.663 eV/atom.

---

TeMoAs2 | GGA-PBE | optimized geometry

Structure (POSCAR):
```
TeMoAs2
1.0
-1.542 -1.160 4.335
0.947 -3.202 3.371
3.555 2.894 3.046
Mo Te As
1 1 2
Direct
0.750 0.750 0.750
0.250 0.250 0.250
0.027 0.027 0.929
0.473 0.473 0.571
```

The volume is 20.18 Å³/atom. As for the space group: C2/m (12). For the formation energy from raw total energies, the calculation gives 0.241 eV/atom.